Arrangement P

Density functional theory data (PBE) for crystalline BeAl2FeCu4 at its relaxed geometry.

Geometry as CIF:
```
data_BeAl2FeCu4
_chemical_formula_sum 'Be4 Al8 Fe4 Cu16'
_cell_length_a 5.777
_cell_length_b 5.777
_cell_length_c 11.255
_cell_angle_alpha 90.00
_cell_angle_beta 90.00
_cell_angle_gamma 90.00
_symmetry_space_group_name_H-M 'I 41/a m d'
_symmetry_Int_Tables_number 141
loop_
_symmetry_equiv_pos_as_xyz
'x,y,z'
'-x,-y,-z'
'-y+1/4,x+3/4,z+1/4'
'y+1/4,-x+3/4,-z+1/4'
'-x+1/2,-y,z+1/2'
'x+1/2,y,-z+1/2'
'y+1/4,-x+1/4,z+3/4'
'-y+1/4,x+1/4,-z+3/4'
'x,-y,-z'
'-x,y,z'
'-y+1/4,-x+1/4,-z+3/4'
'y+1/4,x+1/4,z+3/4'
'-x+1/2,y,-z+1/2'
'x+1/2,-y,z+1/2'
'y+1/4,x+3/4,-z+1/4'
'-y+1/4,-x+3/4,z+1/4'
'x+1/2,y+1/2,z+1/2'
'-x+1/2,-y+1/2,-z+1/2'
'-y+3/4,x+1/4,z+3/4'
'y+3/4,-x+1/4,-z+3/4'
'-x,-y+1/2,z'
'x,y+1/2,-z'
'y+3/4,-x+3/4,z+1/4'
'-y+3/4,x+3/4,-z+1/4'
'x+1/2,-y+1/2,-z+1/2'
'-x+1/2,y+1/2,z+1/2'
'-y+3/4,-x+3/4,-z+1/4'
'y+3/4,x+3/4,z+1/4'
'-x,y+1/2,-z'
'x,-y+1/2,z'
'y+3/4,x+1/4,-z+3/4'
'-y+3/4,-x+1/4,z+3/4'
loop_
_atom_site_label
_atom_site_fract_x
_atom_site_fract_y
_atom_site_fract_z
Be1 0.000 0.250 0.375
Al1 0.000 0.250 0.112
Fe1 0.000 0.250 0.875
Cu1 0.223 0.000 0.500
```

* size of the total moment: 9.29 μB per cell

***

Arrangement Q

Density functional theory data (PBE) for crystalline BeAl2FeCu4 at its relaxed geometry.

Geometry as CIF:
```
data_BeAl2FeCu4
_chemical_formula_sum 'Be1 Al2 Fe1 Cu4'
_cell_length_a 3.874
_cell_length_b 3.874
_cell_length_c 6.216
_cell_angle_alpha 90.00
_cell_angle_beta 90.00
_cell_angle_gamma 90.00
_symmetry_space_group_name_H-M 'P 4/m m m'
_symmetry_Int_Tables_number 123
_symmetry_space_group_name_Hall '-P 4 2'
loop_
_atom_site_label
_atom_site_fract_x
_atom_site_fract_y
_atom_site_fract_z
Be1 0.000 0.000 0.000
Al1 0.000 0.000 0.500
Al2 0.500 0.500 0.000
Fe1 0.500 0.500 0.500
Cu1 0.000 0.500 0.236
```

* size of the total moment: 2.37 μB per cell

***

Unit: meV per atom. Relative energies: arrangement P 8; arrangement Q 0.

***

Arrangement P

Density functional theory data (PBE) for crystalline BeAl2FeCu4 at its relaxed geometry.

Geometry as CIF:
```
data_BeAl2FeCu4
_chemical_formula_sum 'Be4 Al8 Fe4 Cu16'
_cell_length_a 5.780
_cell_length_b 5.780
_cell_length_c 11.253
_cell_angle_alpha 90.00
_cell_angle_beta 90.00
_cell_angle_gamma 90.00
_symmetry_space_group_name_H-M 'I 41/a m d'
_symmetry_Int_Tables_number 141
loop_
_symmetry_equiv_pos_as_xyz
'x,y,z'
'-x,-y,-z'
'-y+1/4,x+3/4,z+1/4'
'y+1/4,-x+3/4,-z+1/4'
'-x+1/2,-y,z+1/2'
'x+1/2,y,-z+1/2'
'y+1/4,-x+1/4,z+3/4'
'-y+1/4,x+1/4,-z+3/4'
'x,-y,-z'
'-x,y,z'
'-y+1/4,-x+1/4,-z+3/4'
'y+1/4,x+1/4,z+3/4'
'-x+1/2,y,-z+1/2'
'x+1/2,-y,z+1/2'
'y+1/4,x+3/4,-z+1/4'
'-y+1/4,-x+3/4,z+1/4'
'x+1/2,y+1/2,z+1/2'
'-x+1/2,-y+1/2,-z+1/2'
'-y+3/4,x+1/4,z+3/4'
'y+3/4,-x+1/4,-z+3/4'
'-x,-y+1/2,z'
'x,y+1/2,-z'
'y+3/4,-x+3/4,z+1/4'
'-y+3/4,x+3/4,-z+1/4'
'x+1/2,-y+1/2,-z+1/2'
'-x+1/2,y+1/2,z+1/2'
'-y+3/4,-x+3/4,-z+1/4'
'y+3/4,x+3/4,z+1/4'
'-x,y+1/2,-z'
'x,-y+1/2,z'
'y+3/4,x+1/4,-z+3/4'
'-y+3/4,-x+1/4,z+3/4'
loop_
_atom_site_label
_atom_site_fract_x
_atom_site_fract_y
_atom_site_fract_z
Be1 0.000 0.250 0.375
Al1 0.000 0.250 0.112
Fe1 0.000 0.250 0.875
Cu1 0.224 0.000 0.500
```

* size of the total moment: 9.30 μB per cell

***

Arrangement Q

Density functional theory data (PBE) for crystalline BeAl2FeCu4 at its relaxed geometry.

Geometry as CIF:
```
data_BeAl2FeCu4
_chemical_formula_sum 'Be1 Al2 Fe1 Cu4'
_cell_length_a 3.954
_cell_length_b 3.954
_cell_length_c 6.022
_cell_angle_alpha 90.00
_cell_angle_beta 90.00
_cell_angle_gamma 90.00
_symmetry_space_group_name_H-M 'P 4/m m m'
_symmetry_Int_Tables_number 123
_symmetry_space_group_name_Hall '-P 4 2'
loop_
_atom_site_label
_atom_site_fract_x
_atom_site_fract_y
_atom_site_fract_z
Be1 0.000 0.000 0.000
Al1 0.000 0.000 0.500
Al2 0.500 0.500 0.000
Fe1 0.500 0.500 0.500
Cu1 0.000 0.500 0.236
```

* size of the total moment: 2.42 μB per cell

***

Unit: meV per atom. Relative energies: arrangement P 6; arrangement Q 0.

***

Arrangement P

Density functional theory data (PBE) for crystalline HfBeAlCu at its relaxed geometry.

Geometry as CIF:
```
data_HfBeAlCu
_chemical_formula_sum 'Hf4 Be4 Al4 Cu4'
_cell_length_a 6.147
_cell_length_b 6.147
_cell_length_c 6.147
_cell_angle_alpha 90.00
_cell_angle_beta 90.00
_cell_angle_gamma 90.00
_symmetry_space_group_name_H-M 'F -4 3 m'
_symmetry_Int_Tables_number 216
_symmetry_space_group_name_Hall 'F -4 2 3'
loop_
_atom_site_label
_atom_site_fract_x
_atom_site_fract_y
_atom_site_fract_z
Hf1 0.000 0.000 0.000
Be1 0.250 0.250 0.750
Al1 0.250 0.250 0.250
Cu1 0.000 0.000 0.500
```

* size of the total moment: 0.00 μB per cell

***

Arrangement Q

Density functional theory data (PBE) for crystalline HfBeAlCu at its relaxed geometry.

Geometry as CIF:
```
data_HfBeAlCu
_chemical_formula_sum 'Hf4 Be4 Al4 Cu4'
_cell_length_a 6.095
_cell_length_b 6.095
_cell_length_c 6.095
_cell_angle_alpha 90.00
_cell_angle_beta 90.00
_cell_angle_gamma 90.00
_symmetry_space_group_name_H-M 'F -4 3 m'
_symmetry_Int_Tables_number 216
_symmetry_space_group_name_Hall 'F -4 2 3'
loop_
_atom_site_label
_atom_site_fract_x
_atom_site_fract_y
_atom_site_fract_z
Hf1 0.000 0.000 0.000
Be1 0.250 0.250 0.250
Al1 0.000 0.000 0.500
Cu1 0.250 0.250 0.750
```

* size of the total moment: 0.00 μB per cell

***

Unit: meV per atom. Relative energies: arrangement P 197; arrangement Q 0.

***

Arrangement P

Density functional theory data (PBE) for crystalline BeNbAlCu at its relaxed geometry.

Geometry as CIF:
```
data_BeNbAlCu
_chemical_formula_sum 'Be4 Nb4 Al4 Cu4'
_cell_length_a 5.996
_cell_length_b 5.996
_cell_length_c 5.996
_cell_angle_alpha 90.00
_cell_angle_beta 90.00
_cell_angle_gamma 90.00
_symmetry_space_group_name_H-M 'F -4 3 m'
_symmetry_Int_Tables_number 216
_symmetry_space_group_name_Hall 'F -4 2 3'
loop_
_atom_site_label
_atom_site_fract_x
_atom_site_fract_y
_atom_site_fract_z
Be1 0.000 0.000 0.000
Nb1 0.250 0.250 0.750
Al1 0.250 0.250 0.250
Cu1 0.000 0.000 0.500
```

* size of the total moment: 2.30 μB per cell

***

Arrangement Q

Density functional theory data (PBE) for crystalline BeNbAlCu at its relaxed geometry.

Geometry as CIF:
```
data_BeNbAlCu
_chemical_formula_sum 'Be4 Nb4 Al4 Cu4'
_cell_length_a 5.996
_cell_length_b 5.996
_cell_length_c 5.996
_cell_angle_alpha 90.00
_cell_angle_beta 90.00
_cell_angle_gamma 90.00
_symmetry_space_group_name_H-M 'F -4 3 m'
_symmetry_Int_Tables_number 216
_symmetry_space_group_name_Hall 'F -4 2 3'
loop_
_atom_site_label
_atom_site_fract_x
_atom_site_fract_y
_atom_site_fract_z
Be1 0.000 0.000 0.000
Nb1 0.250 0.250 0.250
Al1 0.000 0.000 0.500
Cu1 0.250 0.250 0.750
```

* size of the total moment: 0.16 μB per cell

***

Unit: meV per atom. Relative energies: arrangement P 0; arrangement Q 53.

***

Arrangement P

Density functional theory data (PBE) for crystalline BeAl2Cu4Ni at its relaxed geometry.

Geometry as CIF:
```
data_BeAl2Cu4Ni
_chemical_formula_sum 'Be4 Al8 Cu16 Ni4'
_cell_length_a 5.730
_cell_length_b 5.730
_cell_length_c 11.262
_cell_angle_alpha 90.00
_cell_angle_beta 90.00
_cell_angle_gamma 90.00
_symmetry_space_group_name_H-M 'I 41/a m d'
_symmetry_Int_Tables_number 141
loop_
_symmetry_equiv_pos_as_xyz
'x,y,z'
'-x,-y,-z'
'-y+1/4,x+3/4,z+1/4'
'y+1/4,-x+3/4,-z+1/4'
'-x+1/2,-y,z+1/2'
'x+1/2,y,-z+1/2'
'y+1/4,-x+1/4,z+3/4'
'-y+1/4,x+1/4,-z+3/4'
'x,-y,-z'
'-x,y,z'
'-y+1/4,-x+1/4,-z+3/4'
'y+1/4,x+1/4,z+3/4'
'-x+1/2,y,-z+1/2'
'x+1/2,-y,z+1/2'
'y+1/4,x+3/4,-z+1/4'
'-y+1/4,-x+3/4,z+1/4'
'x+1/2,y+1/2,z+1/2'
'-x+1/2,-y+1/2,-z+1/2'
'-y+3/4,x+1/4,z+3/4'
'y+3/4,-x+1/4,-z+3/4'
'-x,-y+1/2,z'
'x,y+1/2,-z'
'y+3/4,-x+3/4,z+1/4'
'-y+3/4,x+3/4,-z+1/4'
'x+1/2,-y+1/2,-z+1/2'
'-x+1/2,y+1/2,z+1/2'
'-y+3/4,-x+3/4,-z+1/4'
'y+3/4,x+3/4,z+1/4'
'-x,y+1/2,-z'
'x,-y+1/2,z'
'y+3/4,x+1/4,-z+3/4'
'-y+3/4,-x+1/4,z+3/4'
loop_
_atom_site_label
_atom_site_fract_x
_atom_site_fract_y
_atom_site_fract_z
Be1 0.000 0.250 0.375
Al1 0.000 0.250 0.111
Cu1 0.225 0.000 0.500
Ni1 0.000 0.250 0.875
```

* size of the total moment: 0.02 μB per cell

***

Arrangement Q

Density functional theory data (PBE) for crystalline BeAl2Cu4Ni at its relaxed geometry.

Geometry as CIF:
```
data_BeAl2Cu4Ni
_chemical_formula_sum 'Be1 Al2 Cu4 Ni1'
_cell_length_a 3.956
_cell_length_b 3.956
_cell_length_c 5.957
_cell_angle_alpha 90.00
_cell_angle_beta 90.00
_cell_angle_gamma 90.00
_symmetry_space_group_name_H-M 'P 4/m m m'
_symmetry_Int_Tables_number 123
_symmetry_space_group_name_Hall '-P 4 2'
loop_
_atom_site_label
_atom_site_fract_x
_atom_site_fract_y
_atom_site_fract_z
Be1 0.000 0.000 0.000
Al1 0.000 0.000 0.500
Al2 0.500 0.500 0.000
Cu1 0.000 0.500 0.237
Ni1 0.500 0.500 0.500
```

* size of the total moment: 0.00 μB per cell

***

Unit: meV per atom. Relative energies: arrangement P 0; arrangement Q 12.

***

Arrangement P

Density functional theory data (PBE) for crystalline BeAlCuOs at its relaxed geometry.

Geometry as CIF:
```
data_BeAlCuOs
_chemical_formula_sum 'Be4 Al4 Cu4 Os4'
_cell_length_a 5.792
_cell_length_b 5.792
_cell_length_c 5.792
_cell_angle_alpha 90.00
_cell_angle_beta 90.00
_cell_angle_gamma 90.00
_symmetry_space_group_name_H-M 'F -4 3 m'
_symmetry_Int_Tables_number 216
_symmetry_space_group_name_Hall 'F -4 2 3'
loop_
_atom_site_label
_atom_site_fract_x
_atom_site_fract_y
_atom_site_fract_z
Be1 0.000 0.000 0.000
Al1 0.250 0.250 0.250
Cu1 0.000 0.000 0.500
Os1 0.250 0.250 0.750
```

* size of the total moment: 0.00 μB per cell

***

Arrangement Q

Density functional theory data (PBE) for crystalline BeAlCuOs at its relaxed geometry.

Geometry as CIF:
```
data_BeAlCuOs
_chemical_formula_sum 'Be4 Al4 Cu4 Os4'
_cell_length_a 5.782
_cell_length_b 5.782
_cell_length_c 5.782
_cell_angle_alpha 90.00
_cell_angle_beta 90.00
_cell_angle_gamma 90.00
_symmetry_space_group_name_H-M 'F -4 3 m'
_symmetry_Int_Tables_number 216
_symmetry_space_group_name_Hall 'F -4 2 3'
loop_
_atom_site_label
_atom_site_fract_x
_atom_site_fract_y
_atom_site_fract_z
Be1 0.000 0.000 0.000
Al1 0.000 0.000 0.500
Cu1 0.250 0.250 0.750
Os1 0.250 0.250 0.250
```

* size of the total moment: 0.01 μB per cell

***

Unit: meV per atom. Relative energies: arrangement P 182; arrangement Q 0.